Record 1
BiAuS2 | Alexandria | GGA-PBE | optimized geometry; calculated total energy = -4.030 eV/atom; E_form (uncorrected) = -176.3 meV/atom; space-group type = No. 1
1.0
4.111 0.000 0.000
-1.830 7.482 0.000
-1.983 -1.220 7.362
Bi Au S
2 2 4
Direct
0.000 0.000 0.000
0.281 0.491 0.092
0.088 0.757 0.547
0.444 0.241 0.572
0.283 0.763 0.855
0.503 0.258 0.878
0.504 0.232 0.284
0.918 0.731 0.236



Record 2
MgSc | Alexandria | GGA-PBE | optimized geometry; calculated total energy = -3.758 eV/atom; ΔH_f (0 K) = 0.2056 eV/atom; space-group type = No. 176
1.0
10.784 0.000 0.000
-5.392 9.339 0.000
0.000 0.000 3.040
Mg Sc
6 6
Direct
0.057 0.284 0.250
0.228 0.943 0.250
0.284 0.228 0.750
0.716 0.772 0.250
0.772 0.057 0.750
0.943 0.716 0.750
0.141 0.619 0.250
0.381 0.522 0.250
0.478 0.859 0.250
0.522 0.141 0.750
0.619 0.478 0.750
0.859 0.381 0.750